DFT (PBE) results for crystalline EuErTlAg at its relaxed geometry.

The structure in CIF format:
```
data_EuErTlAg
_cell_length_a 7.5679
_cell_length_b 7.5679
_cell_length_c 7.5679
_cell_angle_alpha 90.00
_cell_angle_beta 90.00
_cell_angle_gamma 90.00
_space_group_name_H-M_alt 'F -4 3 m'
_space_group_IT_number 216
_space_group_name_Hall 'F -4 2 3'
loop_
_atom_site_label
_atom_site_fract_x
_atom_site_fract_y
_atom_site_fract_z
Eu1 0.0000 0.0000 0.0000
Er1 0.0000 0.0000 0.5000
Tl1 0.2500 0.2500 0.7500
Ag1 0.2500 0.2500 0.2500
```

Results
**D(E_F)**: 10.377 states/eV/f.u.
**Formation energy**: -0.3042 eV per atom
**Total magnetic moment**: 6.9 μB/f.u.

***

DFT (PBE) results for crystalline EuErZnAg at its relaxed geometry.

The structure in CIF format:
```
data_EuErZnAg
_cell_length_a 7.3356
_cell_length_b 7.3356
_cell_length_c 7.3356
_cell_angle_alpha 90.00
_cell_angle_beta 90.00
_cell_angle_gamma 90.00
_space_group_name_H-M_alt 'F -4 3 m'
_space_group_IT_number 216
_space_group_name_Hall 'F -4 2 3'
loop_
_atom_site_label
_atom_site_fract_x
_atom_site_fract_y
_atom_site_fract_z
Eu1 0.0000 0.0000 0.0000
Er1 0.0000 0.0000 0.5000
Zn1 0.2500 0.2500 0.7500
Ag1 0.2500 0.2500 0.2500
```

Results
**D(E_F)**: 4.958 states/eV/f.u.
**Formation energy**: -0.2636 eV per atom
**Total magnetic moment**: 7.2 μB/f.u.

***

DFT (PBE) results for crystalline ErAg4F7 at its relaxed geometry.

The structure in CIF format:
```
data_ErAg4F7
_cell_length_a 16.8712
_cell_length_b 4.2194
_cell_length_c 5.7786
_cell_angle_alpha 90.00
_cell_angle_beta 99.24
_cell_angle_gamma 90.00
_space_group_name_H-M_alt 'C 1 2/m 1'
_space_group_IT_number 12
_space_group_name_Hall '-C 2y'
loop_
_atom_site_label
_atom_site_fract_x
_atom_site_fract_y
_atom_site_fract_z
Er1 0.0000 0.0000 0.0000
Ag1 0.0946 0.5000 0.5287
Ag2 0.2255 0.5000 0.2279
F1 0.0000 0.5000 0.0000
F2 0.0735 0.0000 0.7273
F3 0.1057 0.0000 0.2675
F4 0.2245 0.5000 0.7725
```

Results
**Total magnetic moment**: 0.0 μB/f.u.
**Raw total energy**: -4.378 eV per atom

***

DFT (PBE) results for crystalline ErAgF5 at its relaxed geometry.

The structure in CIF format:
```
data_ErAgF5
_cell_length_a 9.4107
_cell_length_b 7.0052
_cell_length_c 8.4005
_cell_angle_alpha 90.00
_cell_angle_beta 116.57
_cell_angle_gamma 90.00
_space_group_name_H-M_alt 'C 1 2/c 1'
_space_group_IT_number 15
_space_group_name_Hall '-C 2yc'
loop_
_atom_site_label
_atom_site_fract_x
_atom_site_fract_y
_atom_site_fract_z
Er1 0.0000 0.0000 0.0000
Ag1 0.0000 0.4873 0.2500
F1 0.0000 0.0675 0.2500
F2 0.0121 0.3038 0.9713
F3 0.2441 0.4763 0.3674
```

Results
**D(E_F)**: 1.139 states/eV/f.u.
**Total magnetic moment**: 1.0 μB/f.u.
**Raw total energy**: -5.166 eV per atom

***

DFT (PBE) results for crystalline ErAg2F8 at its relaxed geometry.

The structure in CIF format:
```
data_ErAg2F8
_cell_length_a 6.9640
_cell_length_b 6.9640
_cell_length_c 4.1970
_cell_angle_alpha 90.00
_cell_angle_beta 90.00
_cell_angle_gamma 120.00
_space_group_name_H-M_alt 'P -3'
_space_group_IT_number 147
_space_group_name_Hall '-P 3'
loop_
_atom_site_label
_atom_site_fract_x
_atom_site_fract_y
_atom_site_fract_z
Er1 0.0000 0.0000 0.0000
Ag1 0.3333 0.6667 0.7406
F1 0.1539 0.3098 0.7389
F2 0.3333 0.6667 0.2399
```

Results
**D(E_F)**: 13.494 states/eV/f.u.
**Total magnetic moment**: 1.1 μB/f.u.
**Raw total energy**: -4.312 eV per atom

***

DFT (PBE) results for crystalline Er2AgF8 at its relaxed geometry.

The structure in CIF format:
```
data_Er2AgF8
_cell_length_a 6.7670
_cell_length_b 9.8457
_cell_length_c 4.4657
_cell_angle_alpha 90.00
_cell_angle_beta 106.41
_cell_angle_gamma 90.00
_space_group_name_H-M_alt 'C 1 2/m 1'
_space_group_IT_number 12
_space_group_name_Hall '-C 2y'
loop_
_atom_site_label
_atom_site_fract_x
_atom_site_fract_y
_atom_site_fract_z
Er1 0.0000 0.1885 0.0000
Ag1 0.0000 0.5000 0.5000
F1 0.0000 0.2821 0.5000
F2 0.1380 0.0000 0.2920
F3 0.2086 0.3624 0.1078
```

Results
**Total magnetic moment**: 0.9 μB/f.u.
**Raw total energy**: -5.685 eV per atom

***

DFT (PBE) results for crystalline ErAg6F12 at its relaxed geometry.

The structure in CIF format:
```
data_ErAg6F12
_cell_length_a 10.6435
_cell_length_b 10.6435
_cell_length_c 9.4540
_cell_angle_alpha 90.00
_cell_angle_beta 90.00
_cell_angle_gamma 120.00
_space_group_name_H-M_alt 'R -3'
_space_group_IT_number 148
_space_group_name_Hall '-R 3'
loop_
_atom_site_label
_atom_site_fract_x
_atom_site_fract_y
_atom_site_fract_z
Er1 0.0000 0.0000 0.0000
Ag1 0.0448 0.7917 0.6481
F1 0.0096 0.7750 0.4068
F2 0.0398 0.8539 0.8745
```

Results
**D(E_F)**: 8.786 states/eV/f.u.
**Total magnetic moment**: 3.1 μB/f.u.
**Raw total energy**: -4.046 eV per atom

***

DFT (PBE) results for crystalline ErAgF at its relaxed geometry.

The structure in CIF format:
```
data_ErAgF
_cell_length_a 9.3831
_cell_length_b 3.7762
_cell_length_c 8.1860
_cell_angle_alpha 90.00
_cell_angle_beta 122.09
_cell_angle_gamma 90.00
_space_group_name_H-M_alt 'C 1 2/m 1'
_space_group_IT_number 12
_space_group_name_Hall '-C 2y'
loop_
_atom_site_label
_atom_site_fract_x
_atom_site_fract_y
_atom_site_fract_z
Er1 0.1821 0.0000 0.2629
Ag1 0.1190 0.5000 0.9385
F1 0.2001 0.0000 0.5613
```

Results
**D(E_F)**: 0.914 states/eV/f.u.
**Total magnetic moment**: 0.0 μB/f.u.
**Raw total energy**: -4.921 eV per atom